# DyH4IrAu2 (PBE-GGA, relaxed)
data_DyH4IrAu2
_symmetry_space_group_name_H-M 'P 1'
_symmetry_Int_Tables_number 1
_cell_length_a 5.060
_cell_length_b 5.062
_cell_length_c 5.176
_cell_angle_alpha 114.58
_cell_angle_beta 93.20
_cell_angle_gamma 119.71
loop_
_symmetry_equiv_pos_as_xyz
'x,y,z'
loop_
_atom_site_label
_atom_site_type_symbol
_atom_site_fract_x
_atom_site_fract_y
_atom_site_fract_z
Dy1 Dy 0.000 0.000 0.000
H1 H 0.241 0.061 0.616
H2 H 0.504 0.073 0.072
H3 H 0.805 0.427 0.641
H4 H 0.971 0.495 0.125
Ir1 Ir 0.620 0.243 0.851
Au1 Au 0.236 0.485 0.710
Au2 Au 0.602 0.732 0.356
# Total DFT energy (no corrections) = -4.473 eV per atom
# Theoretical density = 12.65 g cm⁻³
# Crystal system = triclinic

***

# PrDy4Te6 (PBE-GGA, relaxed)
data_PrDy4Te6
_symmetry_space_group_name_H-M 'P 1'
_symmetry_Int_Tables_number 1
_cell_length_a 7.466
_cell_length_b 7.466
_cell_length_c 22.332
_cell_angle_alpha 90.00
_cell_angle_beta 90.00
_cell_angle_gamma 146.47
loop_
_symmetry_equiv_pos_as_xyz
'x,y,z'
loop_
_atom_site_label
_atom_site_type_symbol
_atom_site_fract_x
_atom_site_fract_y
_atom_site_fract_z
Pr1 Pr 0.154 0.846 0.750
Pr2 Pr 0.846 0.154 0.250
Dy1 Dy 0.089 0.911 0.125
Dy2 Dy 0.089 0.911 0.375
Dy3 Dy 0.357 0.643 0.035
Dy4 Dy 0.357 0.643 0.465
Dy5 Dy 0.643 0.357 0.535
Dy6 Dy 0.643 0.357 0.965
Dy7 Dy 0.911 0.089 0.625
Dy8 Dy 0.911 0.089 0.875
Te1 Te 0.000 0.000 0.000
Te2 Te 0.000 0.000 0.500
Te3 Te 0.180 0.820 0.250
Te4 Te 0.266 0.734 0.593
Te5 Te 0.266 0.734 0.907
Te6 Te 0.448 0.552 0.163
Te7 Te 0.448 0.552 0.337
Te8 Te 0.552 0.448 0.663
Te9 Te 0.552 0.448 0.837
Te10 Te 0.734 0.266 0.093
Te11 Te 0.734 0.266 0.407
Te12 Te 0.820 0.180 0.750
# Raw formation energy = -15.1 eV per formula unit
# Total DFT energy (no corrections) = -5.198 eV per atom
# Theoretical density = 7.52 g cm⁻³
# Crystal system = orthorhombic

***

# YSc2Zn (PBE-GGA, relaxed)
data_YSc2Zn
_symmetry_space_group_name_H-M 'P 1'
_symmetry_Int_Tables_number 1
_cell_length_a 10.039
_cell_length_b 10.039
_cell_length_c 10.039
_cell_angle_alpha 19.51
_cell_angle_beta 19.51
_cell_angle_gamma 19.51
loop_
_symmetry_equiv_pos_as_xyz
'x,y,z'
loop_
_atom_site_label
_atom_site_type_symbol
_atom_site_fract_x
_atom_site_fract_y
_atom_site_fract_z
Y1 Y 0.000 0.000 0.000
Sc1 Sc 0.239 0.239 0.239
Sc2 Sc 0.484 0.484 0.484
Zn1 Zn 0.746 0.746 0.746
# Total DFT energy (no corrections) = -5.124 eV per atom
# Theoretical density = 4.11 g cm⁻³
# Formation energy from the elements = -0.0239 eV/atom
# Crystal system = trigonal